# Zr2PdPt | Alexandria via LeMat-Bulk | PBE | relaxed
data_Zr2PdPt
_space_group_name_H-M_alt 'P 1'
_space_group_IT_number 1
_cell_length_a 3.925
_cell_length_b 4.346
_cell_length_c 4.346
_cell_angle_alpha 90.00
_cell_angle_beta 90.00
_cell_angle_gamma 90.00
loop_
_space_group_symop_operation_xyz
'x,y,z'
loop_
_atom_site_label
_atom_site_fract_x
_atom_site_fract_y
_atom_site_fract_z
Zr1 0.000 0.000 0.500
Zr2 0.000 0.500 0.000
Pd1 0.500 0.500 0.500
Pt1 0.500 0.000 0.000
# Final energy in eV per atom: -7.844
# E_form in eV per atom: -0.762